## FeRuCl (GGA-PBE)

Data for a relaxed structure of FeRuCl.

a b c (Å): 6.5185 6.1916 2.9884
angles (deg): 82.58 70.37 27.04
With the nearest neighbours (Å) after each atom.
Atoms (fractional coordinates):
Fe 0.0000 0.0000 0.0000  2 Ru 2.36, 2 Cl 2.44
Ru 0.6488 0.6488 0.3512  2 Fe 2.36
Cl 0.3429 0.3429 0.6571  2 Fe 2.44

Results
For the uncorrected formation energy, the calculation gives 1.3 eV/f.u. The energy above the lowest structure with this stoichiometry is 88.1 meV per atom. As for the total DFT energy (no corrections): -18.3 eV per formula unit. The density of states at the Fermi level comes out at 0.78 states/eV/atom. As for the size of the total moment: 4.19 μB/cell. The volume comes out at 15.8 Å³/atom.